No. 1
BeCdFe | Alexandria | PBE | relaxed; ΔH_f (0 K) = 318.2 meV per atom; space group = Pmmm
1.0
-0.933 3.982 -2.194
0.469 -1.471 -2.868
-2.795 -0.707 -0.095
Be Fe Cd
1 1 1
direct
0.221 0.470 0.376
0.221 0.970 0.876
0.721 0.970 0.375

No. 2
MoPd4Pt | Alexandria | PBE | relaxed; ΔH_f (0 K) = 263.6 meV per atom; space group = P-42c
1.0
-1.029 2.737 5.343
-5.612 -2.363 0.129
1.910 -4.393 2.618
Mo Pd Pt
2 8 2
direct
0.000 0.000 0.000
0.000 0.000 0.500
0.242 0.325 0.895
0.758 0.675 0.895
0.325 0.242 0.395
0.242 0.675 0.605
0.758 0.325 0.605
0.325 0.758 0.105
0.675 0.242 0.105
0.675 0.758 0.395
0.000 0.500 0.250
0.500 0.000 0.750

No. 3
GdHfMg2 | Alexandria | PBE | relaxed; ΔH_f (0 K) = 120.5 meV per atom; space group = Fm-3m
1.0
-1.795 -3.852 2.914
3.014 -4.040 1.073
1.804 -0.671 4.780
Mg Gd Hf
2 1 1
direct
0.250 0.250 0.250
0.750 0.750 0.750
0.000 0.000 0.000
0.500 0.500 0.500

No. 4
Zr2TaP | Alexandria | PBE | relaxed; ΔH_f (0 K) = 15.8 meV per atom; space group = F-43m
1.0
4.276 -1.660 -0.987
2.368 -2.450 3.226
0.653 -4.611 -0.569
Zr Ta P
2 1 1
direct
0.000 0.000 0.000
0.750 0.750 0.750
0.250 0.250 0.250
0.500 0.500 0.500

No. 5
RbGe4Se7 | Alexandria | PBE | relaxed; formation energy from raw total energies = -4.4 eV/f.u.; space group = Pmn2_1
1.0
7.482 0.000 0.000
0.000 6.532 0.000
0.000 0.000 15.686
Rb Ge Se
2 8 14
direct
0.409 0.794 0.500
0.909 0.206 0.000
0.606 0.699 0.879
0.115 0.772 0.242
0.615 0.228 0.258
0.106 0.301 0.621
0.106 0.301 0.379
0.606 0.699 0.121
0.115 0.772 0.758
0.615 0.228 0.742
0.924 0.706 0.107
0.424 0.294 0.393
0.485 0.360 0.879
0.985 0.640 0.621
0.985 0.640 0.379
0.485 0.360 0.121
0.506 0.866 0.750
0.006 0.134 0.750
0.006 0.134 0.250
0.506 0.866 0.250
0.472 0.875 0.000
0.972 0.125 0.500
0.924 0.706 0.893
0.424 0.294 0.607

No. 6
NaSrW2 | Alexandria | PBE | relaxed; ΔH_f (0 K) = 1924.1 meV per atom; space group = I-42d
1.0
8.647 0.000 0.000
0.000 8.647 0.000
4.324 4.324 2.518
Sr W Na
2 4 2
direct
0.000 0.000 0.000
0.750 0.250 0.500
0.589 0.125 0.250
0.161 0.625 0.250
0.375 0.411 0.750
0.875 0.839 0.750
0.500 0.500 0.000
0.250 0.750 0.500

No. 7
Tm2H2Pb | Alexandria | PBE | relaxed; uncorrected energy = -4.48 eV per atom; space group = Fmmm
1.0
3.925 0.410 -0.193
-0.432 3.922 -0.193
-1.512 -1.876 5.542
Tm H Pb
2 2 1
direct
0.656 0.656 0.313
0.344 0.344 0.687
0.249 0.751 0.500
0.751 0.249 0.500
0.000 0.000 0.000

No. 8
Al3ReRh | Alexandria | PBE | relaxed; ΔH_f (0 K) = 651.2 meV per atom; space group = Pm-3m
1.0
4.529 0.000 0.000
0.000 4.529 0.000
0.000 0.000 4.529
Re Rh Al
1 1 3
direct
0.500 0.500 0.500
0.000 0.000 0.000
0.000 0.500 0.000
0.000 0.000 0.500
0.500 0.000 0.000